[1]
Computed, not measured: a relaxed K2TaSb2 crystal at the PBE level of DFT.

Computed properties:
ΔE_f (raw) = 0.11 eV per atom
Crystal system = tetragonal
Volume = 322.0 Å³ per cell
Uncorrected energy = -4.3469 eV/atom

abc: 7.425 7.425 5.840
angles: 90.00 90.00 90.00
Positions (direct):
K1 0.167 0.333 0.000
K2 0.333 0.833 0.000
K3 0.667 0.167 0.000
K4 0.833 0.667 0.000
Ta1 0.000 0.000 0.500
Ta2 0.500 0.500 0.500
Sb1 0.149 0.649 0.500
Sb2 0.351 0.149 0.500
Sb3 0.649 0.851 0.500
Sb4 0.851 0.351 0.500

---

[2]
Computed, not measured: a relaxed CsAc2Cu2O6 crystal at the PBE level of DFT.

Computed properties:
ΔE_f (raw) = -1.81 eV per atom
Crystal system = triclinic
Volume = 236.6 Å³ per cell
Uncorrected energy = -6.0873 eV/atom

abc: 6.467 6.878 6.885
angles: 95.27 116.08 114.23
Positions (direct):
Cs1 0.000 0.000 0.000
Ac1 0.373 0.678 0.309
Ac2 0.627 0.322 0.691
Cu1 0.265 0.703 0.723
Cu2 0.735 0.297 0.277
O1 0.112 0.631 0.891
O2 0.313 0.909 0.571
O3 0.453 0.578 0.675
O4 0.547 0.422 0.325
O5 0.687 0.091 0.429
O6 0.888 0.369 0.109

---

[3]
Computed, not measured: a relaxed La2In4Co crystal at the PBE level of DFT.

Computed properties:
Crystal system = tetragonal
Volume = 195.9 Å³ per cell
Uncorrected energy = -4.2335 eV/atom

abc: 8.948 8.948 8.948
angles: 148.41 148.41 45.28
Positions (direct):
La1 0.149 0.149 0.000
La2 0.851 0.851 0.000
In1 0.000 0.500 0.500
In2 0.344 0.344 0.000
In3 0.500 0.000 0.500
In4 0.656 0.656 0.000
Co1 0.500 0.500 0.000

---

- Among the records above, which one has the highest volume?
  K2TaSb2

---

- The lowest volume belongs to which entry?
  La2In4Co

---

- The lowest volume belongs to which entry?
  La2In4Co